The following is a DFT calculation (GGA-PBEsol) of an optimized crystal structure of Mg5Pt.

Results
* size of the total moment: 0.0 μB/cell
* calculated density: 4.50 g/cm3
* V: 116.7 Å³/f.u.
* ΔE_f: -0.294 eV/atom
* calculated total energy: -2.886 eV per atom

abc: 3.4532 5.4405 6.9695
angles: 108.89 90.00 108.50
Closest atoms and distances in Å follow each position.
Fractional coordinates of all 6 atoms:
Mg1 0.3417 0.6834 0.7439  2 Pt 2.71, 5 Mg 2.94-3.00
Mg2 0.0473 0.0945 0.0339  2 Pt 2.71, 5 Mg 2.94-2.99
Mg3 0.3561 0.7121 0.1889  2 Pt 2.78, 6 Mg 2.99-3.08
Mg4 0.0328 0.0656 0.5889  2 Pt 2.78, 6 Mg 3.00-3.08
Pt1 0.6945 0.3890 0.8888  8 Mg 2.71-2.78
Mg5 0.6944 0.3888 0.3890  10 Mg 2.97-3.29



The following is a DFT calculation (GGA-PBEsol) of an optimized crystal structure of MgPt3.

Results
* size of the total moment: 0.0 μB/cell
* calculated density: 16.85 g/cm3
* V: 60.1 Å³/f.u.
* ΔE_f: -0.523 eV/atom
* calculated total energy: -6.175 eV per atom

abc: 2.8133 4.7311 4.7311
angles: 107.43 90.00 90.00
Closest atoms and distances in Å follow each position.
Fractional coordinates of all 4 atoms:
Pt1 0.5000 0.0000 0.5000  4 Mg 2.75, 8 Pt 2.75-2.81
Pt2 0.0000 0.5000 0.5000  10 Pt 2.75-2.81, 2 Mg 2.80
Mg1 0.0000 0.0000 0.0000  10 Pt 2.75-2.80, 2 Mg 2.81
Pt3 0.5000 0.5000 0.0000  8 Pt 2.75-2.81, 4 Mg 2.75



The following is a DFT calculation (GGA-PBEsol) of an optimized crystal structure of MgPt2.

Results
* size of the total moment: 0.0 μB/cell
* calculated density: 15.14 g/cm3
* V: 45.5 Å³/f.u.
* ΔE_f: -0.649 eV/atom
* calculated total energy: -5.864 eV per atom

abc: 3.8989 3.8989 12.2785
angles: 99.14 99.14 90.00
Closest atoms and distances in Å follow each position.
Fractional coordinates of all 12 atoms:
Pt1 0.9988 0.4988 0.9975  4 Mg 2.70-2.74, 8 Pt 2.76-2.82
Pt2 0.8340 0.3340 0.6680  6 Mg 2.76-2.84, 6 Pt 2.77-2.82
Pt3 0.2512 0.2512 0.5025  4 Mg 2.70-2.74, 8 Pt 2.76-2.82
Mg1 0.3295 0.8295 0.6590  10 Pt 2.70-2.84, 2 Mg 2.92
Mg2 0.9205 0.9205 0.8410  10 Pt 2.70-2.84, 2 Mg 2.92
Mg3 0.1705 0.6705 0.3410  10 Pt 2.70-2.84, 2 Mg 2.92
Pt4 0.5012 0.0012 0.0025  4 Mg 2.70-2.74, 8 Pt 2.76-2.82
Pt5 0.4160 0.4160 0.8320  6 Mg 2.76-2.84, 6 Pt 2.77-2.82
Pt6 0.6660 0.1660 0.3320  6 Mg 2.76-2.84, 6 Pt 2.77-2.82
Pt7 0.7488 0.7488 0.4975  4 Mg 2.70-2.74, 8 Pt 2.76-2.82
Mg4 0.0795 0.0795 0.1590  10 Pt 2.70-2.84, 2 Mg 2.92
Pt8 0.5840 0.5840 0.1680  6 Mg 2.76-2.84, 6 Pt 2.77-2.82



The following is a DFT calculation (GGA-PBEsol) of an optimized crystal structure of Mg3Pt.

Results
* size of the total moment: 0.0 μB/cell
* calculated density: 6.35 g/cm3
* V: 70.1 Å³/f.u.
* ΔE_f: -0.466 eV/atom
* calculated total energy: -3.494 eV per atom

abc: 5.8576 5.8576 14.1532
angles: 90.00 90.00 120.00
Closest atoms and distances in Å follow each position.
Fractional coordinates of all 24 atoms:
Mg1 0.5079 0.4921 0.7500  8 Mg 2.79-3.07, 4 Pt 2.86-2.93
Mg2 0.3325 0.1663 0.4158  4 Pt 2.89-2.93, 8 Mg 2.92-2.94
Mg3 0.6675 0.8337 0.5842  4 Pt 2.89-2.93, 8 Mg 2.92-2.94
Mg4 0.1663 0.3325 0.9158  4 Pt 2.89-2.93, 8 Mg 2.92-2.94
Mg5 0.3325 0.1663 0.0842  4 Pt 2.89-2.93, 8 Mg 2.92-2.94
Mg6 0.8337 0.6675 0.0842  4 Pt 2.89-2.93, 8 Mg 2.92-2.94
Mg7 0.1663 0.3325 0.5842  4 Pt 2.89-2.93, 8 Mg 2.92-2.94
Pt1 0.6667 0.3333 0.5832  12 Mg 2.86-2.93
Mg8 0.1663 0.8337 0.5842  4 Pt 2.89-2.93, 8 Mg 2.92-2.94
Pt2 0.3333 0.6667 0.0832  12 Mg 2.86-2.93
Mg9 0.5079 0.0157 0.7500  8 Mg 2.79-3.07, 4 Pt 2.86-2.93
Mg10 0.0157 0.5079 0.2500  8 Mg 2.79-3.07, 4 Pt 2.86-2.93
Pt3 0.0000 0.0000 0.7500  12 Mg 2.89-2.93
Mg11 0.4921 0.9843 0.2500  8 Mg 2.79-3.07, 4 Pt 2.86-2.93
Mg12 0.1663 0.8337 0.9158  4 Pt 2.89-2.93, 8 Mg 2.92-2.94
Mg13 0.8337 0.1663 0.4158  4 Pt 2.89-2.93, 8 Mg 2.92-2.94
Pt4 0.0000 0.0000 0.2500  12 Mg 2.89-2.93
Mg14 0.6675 0.8337 0.9158  4 Pt 2.89-2.93, 8 Mg 2.92-2.94
Pt5 0.3333 0.6667 0.4168  12 Mg 2.86-2.93
Mg15 0.8337 0.1663 0.0842  4 Pt 2.89-2.93, 8 Mg 2.92-2.94
Mg16 0.4921 0.5079 0.2500  8 Mg 2.79-3.07, 4 Pt 2.86-2.93
Mg17 0.8337 0.6675 0.4158  4 Pt 2.89-2.93, 8 Mg 2.92-2.94
Mg18 0.9843 0.4921 0.7500  8 Mg 2.79-3.07, 4 Pt 2.86-2.93
Pt6 0.6667 0.3333 0.9168  12 Mg 2.86-2.93



The following is a DFT calculation (GGA-PBEsol) of an optimized crystal structure of Mg2Pt.

Results
* size of the total moment: 0.0 μB/cell
* calculated density: 7.58 g/cm3
* V: 53.4 Å³/f.u.
* ΔE_f: -0.654 eV/atom
* calculated total energy: -4.120 eV per atom

abc: 8.4531 8.4531 8.4531
angles: 60.00 60.00 60.00
Closest atoms and distances in Å follow each position.
Fractional coordinates of all 24 atoms:
Mg1 0.8018 0.1982 0.1982  4 Pt 2.69-2.95, 2 Mg 2.99
Mg2 0.1250 0.6250 0.6250  6 Pt 2.66
Mg3 0.8018 0.8018 0.1982  4 Pt 2.69-2.95, 2 Mg 2.99
Pt1 0.4067 0.4067 0.4067  9 Mg 2.66-2.95
Mg4 0.4482 0.0518 0.4482  4 Pt 2.69-2.95, 2 Mg 2.99
Pt2 0.7800 0.4067 0.4067  9 Mg 2.66-2.95
Mg5 0.1982 0.1982 0.8018  4 Pt 2.69-2.95, 2 Mg 2.99
Mg6 0.8018 0.1982 0.8018  4 Pt 2.69-2.95, 2 Mg 2.99
Pt3 0.4067 0.4067 0.7800  9 Mg 2.66-2.95
Mg7 0.4482 0.4482 0.0518  4 Pt 2.69-2.95, 2 Mg 2.99
Pt4 0.4700 0.8433 0.8433  9 Mg 2.66-2.95
Pt5 0.8433 0.4700 0.8433  9 Mg 2.66-2.95
Mg8 0.6250 0.6250 0.1250  6 Pt 2.66
Mg9 0.0518 0.0518 0.4482  4 Pt 2.69-2.95, 2 Mg 2.99
Mg10 0.0518 0.4482 0.4482  4 Pt 2.69-2.95, 2 Mg 2.99
Pt6 0.8433 0.8433 0.4700  9 Mg 2.66-2.95
Mg11 0.1982 0.8018 0.8018  4 Pt 2.69-2.95, 2 Mg 2.99
Mg12 0.1982 0.8018 0.1982  4 Pt 2.69-2.95, 2 Mg 2.99
Mg13 0.6250 0.6250 0.6250  6 Pt 2.66
Mg14 0.6250 0.1250 0.6250  6 Pt 2.66
Mg15 0.0518 0.4482 0.0518  4 Pt 2.69-2.95, 2 Mg 2.99
Mg16 0.4482 0.0518 0.0518  4 Pt 2.69-2.95, 2 Mg 2.99
Pt7 0.8433 0.8433 0.8433  9 Mg 2.66-2.95
Pt8 0.4067 0.7800 0.4067  9 Mg 2.66-2.95



The following is a DFT calculation (GGA-PBEsol) of an optimized crystal structure of Mg3Pt2.

Results
* size of the total moment: 0.0 μB/cell
* calculated density: 8.43 g/cm3
* V: 91.3 Å³/f.u.
* ΔE_f: -0.653 eV/atom
* calculated total energy: -4.469 eV per atom

abc: 4.4343 4.4343 5.3589
angles: 90.00 90.00 120.00
Closest atoms and distances in Å follow each position.
Fractional coordinates of all 5 atoms:
Pt1 0.6667 0.3333 0.1491  8 Mg 2.67-2.78
Mg1 0.3333 0.6667 0.3518  5 Pt 2.67-2.78
Pt2 0.3333 0.6667 0.8509  8 Mg 2.67-2.78
Mg2 0.0000 0.0000 0.0000  6 Pt 2.68
Mg3 0.6667 0.3333 0.6482  5 Pt 2.67-2.78



The following is a DFT calculation (GGA-PBEsol) of an optimized crystal structure of MgRePt2.

Results
* size of the total moment: 0.0 μB/cell
* calculated density: 16.33 g/cm3
* V: 61.1 Å³/f.u.
* ΔE_f: 0.014 eV/atom
* calculated total energy: -7.230 eV per atom

abc: 3.2300 3.2300 5.8555
angles: 90.00 90.00 90.00
Closest atoms and distances in Å follow each position.
Fractional coordinates of all 4 atoms:
Mg1 0.5000 0.5000 0.7653  6 Pt 2.65-2.95, 4 Re 2.83
Pt1 0.5000 0.5000 0.2619  4 Re 2.61, 4 Pt 2.77, 1 Mg 2.91
Pt2 0.0000 0.0000 0.9935  4 Mg 2.65, 4 Pt 2.77, 1 Re 2.85
Re1 0.0000 0.0000 0.4793  5 Pt 2.61-2.85, 4 Mg 2.83



The following is a DFT calculation (GGA-PBEsol) of an optimized crystal structure of Mg4RePt.

Results
* size of the total moment: 0.8 μB/cell
* calculated density: 7.94 g/cm3
* V: 100.1 Å³/f.u.
* ΔE_f: 0.584 eV/atom
* calculated total energy: -3.944 eV per atom

abc: 5.2118 5.2118 5.2118
angles: 60.00 60.00 60.00
Closest atoms and distances in Å follow each position.
Fractional coordinates of all 6 atoms:
Mg1 0.3743 0.3743 0.8770  6 Mg 2.59-2.62
Mg2 0.8770 0.3743 0.3743  6 Mg 2.59-2.62
Pt1 0.7500 0.7500 0.7500  12 Mg 3.06, 4 Re 3.19
Mg3 0.3743 0.3743 0.3743  6 Mg 2.59-2.62
Mg4 0.3743 0.8770 0.3743  6 Mg 2.59-2.62
Re1 0.0000 0.0000 0.0000  12 Mg 3.05, 4 Pt 3.19



The following is a DFT calculation (GGA-PBEsol) of an optimized crystal structure of MgRePt.

Results
* size of the total moment: 0.0 μB/cell
* calculated density: 14.91 g/cm3
* V: 45.2 Å³/f.u.
* ΔE_f: 0.103 eV/atom
* calculated total energy: -7.234 eV per atom

abc: 2.7054 4.0456 4.7918
angles: 114.97 106.40 90.00
Closest atoms and distances in Å follow each position.
Fractional coordinates of all 3 atoms:
Mg1 0.0020 0.0020 0.0040  2 Mg 2.71, 5 Re 2.72-2.81, 5 Pt 2.77-2.79
Pt1 0.6664 0.6664 0.3329  2 Pt 2.71, 5 Re 2.76-2.79, 5 Mg 2.77-2.79
Re1 0.3316 0.3316 0.6631  2 Re 2.71, 5 Mg 2.72-2.81, 5 Pt 2.76-2.79



The following is a DFT calculation (GGA-PBEsol) of an optimized crystal structure of Mg2RePt.

Results
* size of the total moment: 0.0 μB/cell
* calculated density: 11.38 g/cm3
* energy above the lowest structure with this stoichiometry: 29.2 meV/atom
* V: 62.8 Å³/f.u.
* ΔE_f: 0.171 eV/atom
* calculated total energy: -5.761 eV per atom

abc: 3.9689 3.9689 4.8730
angles: 114.03 114.03 90.00
Closest atoms and distances in Å follow each position.
Fractional coordinates of all 4 atoms:
Pt1 0.5000 0.5000 0.0000  8 Mg 2.81, 4 Re 2.81
Re1 0.2500 0.7500 0.5000  8 Mg 2.81, 4 Pt 2.81
Mg1 0.0000 0.0000 0.0000  4 Pt 2.81, 4 Re 2.81, 4 Mg 2.81
Mg2 0.7500 0.2500 0.5000  4 Re 2.81, 4 Mg 2.81, 4 Pt 2.81



The following is a DFT calculation (GGA-PBEsol) of an optimized crystal structure of MgRePt2.

Results
* size of the total moment: 0.0 μB/cell
* calculated density: 16.64 g/cm3
* V: 60.0 Å³/f.u.
* ΔE_f: -0.255 eV/atom
* calculated total energy: -7.499 eV per atom

abc: 2.7507 3.9451 5.5252
angles: 90.00 90.00 90.00
Closest atoms and distances in Å follow each position.
Fractional coordinates of all 4 atoms:
Pt1 0.0000 0.0000 0.2405  4 Pt 2.66-2.87, 4 Re 2.75, 4 Mg 2.80
Pt2 0.0000 0.0000 0.7595  4 Pt 2.66-2.87, 4 Re 2.75, 4 Mg 2.80
Re1 0.5000 0.5000 0.0000  8 Pt 2.75, 2 Re 2.75, 2 Mg 2.76
Mg1 0.5000 0.5000 0.5000  2 Mg 2.75, 2 Re 2.76, 8 Pt 2.80



The following is a DFT calculation (GGA-PBEsol) of an optimized crystal structure of Mg2RePt.

Results
* size of the total moment: 0.0 μB/cell
* calculated density: 11.35 g/cm3
* energy above the lowest structure with this stoichiometry: 0.0 meV/atom
* V: 62.9 Å³/f.u.
* ΔE_f: 0.142 eV/atom
* calculated total energy: -5.790 eV per atom

abc: 3.9116 3.9116 4.9554
angles: 113.25 113.25 90.00
Closest atoms and distances in Å follow each position.
Fractional coordinates of all 4 atoms:
Pt1 0.5000 0.5000 0.0000  4 Re 2.77, 8 Mg 2.84
Re1 0.0000 0.0000 0.0000  4 Pt 2.77, 8 Mg 2.84
Mg1 0.2500 0.7500 0.5000  4 Mg 2.77, 4 Re 2.84, 4 Pt 2.84
Mg2 0.7500 0.2500 0.5000  4 Mg 2.77, 4 Re 2.84, 4 Pt 2.84



The following is a DFT calculation (GGA-PBEsol) of an optimized crystal structure of Mg2PtRh.

Results
* size of the total moment: 0.0 μB/cell
* calculated density: 9.67 g/cm3
* V: 59.5 Å³/f.u.
* ΔE_f: -0.639 eV/atom
* calculated total energy: -5.273 eV per atom

abc: 4.3826 4.3826 4.3826
angles: 60.00 60.00 60.00
Closest atoms and distances in Å follow each position.
Fractional coordinates of all 4 atoms:
Pt1 0.0000 0.0000 0.0000  8 Mg 2.68
Mg1 0.7500 0.7500 0.7500  4 Rh 2.68, 4 Pt 2.68
Mg2 0.2500 0.2500 0.2500  4 Rh 2.68, 4 Pt 2.68
Rh1 0.5000 0.5000 0.5000  8 Mg 2.68



The following is a DFT calculation (GGA-PBEsol) of an optimized crystal structure of Mg2PtRh.

Results
* size of the total moment: 0.0 μB/cell
* calculated density: 8.84 g/cm3
* V: 65.1 Å³/f.u.
* ΔE_f: -0.124 eV/atom
* calculated total energy: -4.758 eV per atom

abc: 2.8653 2.8653 9.3085
angles: 81.15 81.15 60.00
Closest atoms and distances in Å follow each position.
Fractional coordinates of all 4 atoms:
Rh1 0.2495 0.2495 0.2514  3 Mg 2.63, 3 Pt 2.78, 6 Rh 2.87
Pt1 0.5014 0.5014 0.4958  3 Mg 2.67, 3 Rh 2.78, 6 Pt 2.87
Mg1 0.9906 0.9906 0.0282  3 Rh 2.63, 6 Mg 2.87
Mg2 0.7584 0.7584 0.7247  3 Pt 2.67, 6 Mg 2.87



The following is a DFT calculation (GGA-PBEsol) of an optimized crystal structure of Mg2PtRh.

Results
* size of the total moment: 0.0 μB/cell
* calculated density: 9.65 g/cm3
* V: 59.7 Å³/f.u.
* ΔE_f: -0.615 eV/atom
* calculated total energy: -5.249 eV per atom

abc: 3.1049 3.1049 6.1892
angles: 90.00 90.00 90.00
Closest atoms and distances in Å follow each position.
Fractional coordinates of all 4 atoms:
Rh1 0.5000 0.5000 0.5000  8 Mg 2.66
Mg1 0.0000 0.0000 0.7427  4 Rh 2.66, 4 Pt 2.71
Mg2 0.0000 0.0000 0.2573  4 Rh 2.66, 4 Pt 2.71
Pt1 0.5000 0.5000 0.0000  8 Mg 2.71



The following is a DFT calculation (GGA-PBEsol) of an optimized crystal structure of MgSiPtRh2.

Results
* formation energy (no corrections): 370 meV per atom
* size of the total moment: 0.0 μB/cell
* calculated density: 8.82 g/cm3
* V: 85.3 Å³/f.u.
* calculated total energy: -5.771 eV per atom

abc: 4.2770 4.2770 4.6632
angles: 90.00 90.00 90.00
Closest atoms and distances in Å follow each position.
Fractional coordinates of all 5 atoms:
Mg1 0.0000 0.0000 0.5000  2 Si 2.33
Rh1 0.0000 0.5000 0.0000  2 Si 2.14
Pt1 0.5000 0.5000 0.5000  4 Mg 3.02, 8 Rh 3.16
Si1 0.0000 0.0000 0.0000  4 Rh 2.14, 2 Mg 2.33
Rh2 0.5000 0.0000 0.0000  2 Si 2.14



The following is a DFT calculation (GGA-PBEsol) of an optimized crystal structure of MgRu2Pt.

Results
* size of the total moment: 0.0 μB/cell
* calculated density: 12.10 g/cm3
* V: 57.8 Å³/f.u.
* ΔE_f: 0.159 eV/atom
* calculated total energy: -7.097 eV per atom

abc: 4.3407 4.3407 4.3407
angles: 60.00 60.00 60.00
Closest atoms and distances in Å follow each position.
Fractional coordinates of all 4 atoms:
Ru1 0.7500 0.7500 0.7500  4 Ru 2.66, 4 Mg 2.66
Mg1 0.5000 0.5000 0.5000  4 Ru 2.66, 4 Pt 2.66
Pt1 0.2500 0.2500 0.2500  4 Ru 2.66, 4 Mg 2.66
Ru2 0.0000 0.0000 0.0000  4 Ru 2.66, 4 Pt 2.66



The following is a DFT calculation (GGA-PBEsol) of an optimized crystal structure of MgPtS2.

Results
* formation energy (no corrections): -335 meV per atom
* size of the total moment: 0.0 μB/cell
* calculated density: 5.71 g/cm3
* V: 82.5 Å³/f.u.
* calculated total energy: -4.697 eV per atom

abc: 3.5531 3.5531 7.8173
angles: 76.86 76.86 60.00
Closest atoms and distances in Å follow each position.
Fractional coordinates of all 4 atoms:
Mg1 0.0000 0.0000 0.0000  2 S 2.53
Pt1 0.5000 0.5000 0.5000  6 S 2.40
S1 0.8880 0.8880 0.3359  3 Pt 2.40, 1 Mg 2.53
S2 0.1120 0.1120 0.6641  3 Pt 2.40, 1 Mg 2.53



The following is a DFT calculation (GGA-PBEsol) of an optimized crystal structure of MgPt3S.

Results
* formation energy (no corrections): 1336 meV per atom
* size of the total moment: 0.0 μB/cell
* calculated density: 11.21 g/cm3
* V: 95.0 Å³/f.u.
* calculated total energy: -4.062 eV per atom

abc: 4.5634 4.5634 4.5634
angles: 90.00 90.00 90.00
Closest atoms and distances in Å follow each position.
Fractional coordinates of all 5 atoms:
Pt1 0.0000 0.5000 0.0000  2 Mg 2.28
Pt2 0.0000 0.0000 0.5000  2 Mg 2.28
Mg1 0.0000 0.0000 0.0000  6 Pt 2.28
Pt3 0.5000 0.0000 0.0000  2 Mg 2.28
S1 0.5000 0.5000 0.5000  12 Pt 3.23



The following is a DFT calculation (GGA-PBEsol) of an optimized crystal structure of Mg2SbPt2.

Results
* formation energy (no corrections): -325 meV per atom
* size of the total moment: 0.0 μB/cell
* calculated density: 9.89 g/cm3
* V: 94.1 Å³/f.u.
* calculated total energy: -4.708 eV per atom

abc: 3.8736 3.8736 6.8465
angles: 106.43 106.43 90.00
Closest atoms and distances in Å follow each position.
Fractional coordinates of all 5 atoms:
Sb1 0.0000 0.0000 0.0000  8 Pt 3.04
Mg1 0.2500 0.7500 0.5000  4 Pt 2.65, 4 Mg 2.74
Pt1 0.6057 0.6057 0.2114  4 Mg 2.65, 1 Pt 2.65
Pt2 0.3943 0.3943 0.7886  4 Mg 2.65, 1 Pt 2.65
Mg2 0.7500 0.2500 0.5000  4 Pt 2.65, 4 Mg 2.74